# 1
# Sr2InPtPb | Alexandria via LeMat-Bulk | PBE | optimized geometry
data_Sr2InPtPb
_cell_length_a 5.7870
_cell_length_b 5.7870
_cell_length_c 5.1982
_cell_angle_alpha 90.00
_cell_angle_beta 90.00
_cell_angle_gamma 90.00
_space_group_name_H-M_alt 'P 4/m m m'
_space_group_IT_number 123
_space_group_name_Hall '-P 4 2'
loop_
_atom_site_label
_atom_site_type_symbol
_atom_site_fract_x
_atom_site_fract_y
_atom_site_fract_z
_atom_site_occupancy
Sr1 Sr 0.0000 0.5000 0.0000 1
In1 In 0.0000 0.0000 0.5000 1
Pt1 Pt 0.0000 0.0000 0.0000 1
Pb1 Pb 0.5000 0.5000 0.5000 1
# E ... -3.677 eV per atom
# Formation enthalpy at 0 K ... -0.5067 eV per atom

# 2
# RbZnAsCl6 | Alexandria via LeMat-Bulk | PBE | optimized geometry
data_RbZnAsCl6
_cell_length_a 6.5467
_cell_length_b 6.5467
_cell_length_c 7.4096
_cell_angle_alpha 90.00
_cell_angle_beta 90.00
_cell_angle_gamma 120.00
_space_group_name_H-M_alt 'P 3 1 2'
_space_group_IT_number 149
_space_group_name_Hall 'P 3 2'
loop_
_atom_site_label
_atom_site_type_symbol
_atom_site_fract_x
_atom_site_fract_y
_atom_site_fract_z
_atom_site_occupancy
Rb1 Rb 0.0000 0.0000 0.0000 1
Zn1 Zn 0.6667 0.3333 0.5000 1
As1 As 0.3333 0.6667 0.5000 1
Cl1 Cl 0.3762 0.0039 0.6936 1
# E ... -3.096 eV per atom
# Raw formation energy ... -1.099 eV per atom

# 3
# Ti5Al4W | Alexandria via LeMat-Bulk | PBE | optimized geometry
data_Ti5Al4W
_cell_length_a 3.2808
_cell_length_b 3.2808
_cell_length_c 15.0167
_cell_angle_alpha 90.00
_cell_angle_beta 90.00
_cell_angle_gamma 90.00
_space_group_name_H-M_alt 'P 4/m m m'
_space_group_IT_number 123
_space_group_name_Hall '-P 4 2'
loop_
_atom_site_label
_atom_site_type_symbol
_atom_site_fract_x
_atom_site_fract_y
_atom_site_fract_z
_atom_site_occupancy
Ti1 Ti 0.0000 0.0000 0.0000 1
Ti2 Ti 0.0000 0.0000 0.1976 1
Ti3 Ti 0.0000 0.0000 0.4032 1
Al1 Al 0.5000 0.5000 0.0975 1
Al2 Al 0.5000 0.5000 0.3017 1
W1 W 0.5000 0.5000 0.5000 1
# E ... -7.027 eV per atom
# Formation enthalpy at 0 K ... -0.2872 eV per atom